[1]
Here is Sm6AuS5 after structural relaxation from Alexandria. Energies are from PBE.

Geometry as extended XYZ:
```
12
Lattice="-3.3045 1.7864 -5.9368 6.9375 -1.1074 -0.0332 -2.2378 -6.6176 0.6386" Properties=species:S:1:pos:R:3 pbc="T T T"
S -2.7348 -1.9995 -4.6441
S 0.6976 -2.9693 -2.6657
S 0.1164 0.8198 -3.9650
S 3.5166 -0.1409 -2.0050
S 4.1299 -3.9391 -0.6872
Sm 2.1238 -1.1858 -4.2658
Sm -1.4043 -1.0160 -2.3833
Sm 2.1239 -2.0129 -0.3497
Sm -0.7287 -4.7528 -1.0656
Sm 2.7995 -4.9226 -2.9480
Sm -0.7287 -3.9257 -4.9817
Au 0.0000 0.0000 0.0000
```

E ... -74.1 eV for the cell shown
Volume ... 282.5 Å³/cell

[2]
Here is Sm8AuS6 after structural relaxation from Alexandria. Energies are from PBE.

Geometry as extended XYZ:
```
15
Lattice="-0.5910 4.0131 -0.0173 -9.6368 -1.4342 -3.5078 1.8077 0.3100 10.1915" Properties=species:S:1:pos:R:3 pbc="T T T"
Sm -2.4505 2.7392 5.6121
Sm -2.4008 0.6861 2.3098
Sm -6.0193 2.2028 4.3566
Sm -3.5502 2.5441 -0.8263
Sm -4.8699 0.3448 7.4927
Sm -5.9696 0.1497 1.0543
Sm -9.2241 1.7104 -0.3933
Sm 0.8040 1.1785 7.0597
S -4.4683 2.4262 1.8469
S -7.8514 1.9296 2.2186
S -0.5687 0.9593 4.4478
S -6.4765 2.1185 -0.9285
S -3.9518 0.4627 4.8195
S -1.9436 0.7704 7.5949
Au -0.2955 2.0065 -0.0086
```

E ... -88.5 eV for the cell shown
Volume ... 376.7 Å³/cell

[3]
Here is Sm3AuS after structural relaxation from Alexandria. Energies are from PBE.

Geometry as extended XYZ:
```
20
Lattice="-3.2081 -2.2701 0.0205 2.5422 -3.5210 7.9259 -7.6848 10.9261 7.3187" Properties=species:S:1:pos:R:3 pbc="T T T"
Sm -6.4303 7.4511 7.1969
Sm -1.9204 -2.3162 8.0682
Sm -7.9757 6.2637 10.5884
Sm -2.3822 -1.7217 1.6365
Sm -4.1935 0.9002 8.5350
Sm -4.1572 4.2347 6.7301
Sm -5.9685 6.8566 13.6286
Sm -0.3750 -1.1288 4.6768
Sm -7.0458 4.8949 4.5292
Sm -3.8209 0.3391 4.7046
Sm -1.3049 0.2400 10.7359
Sm -4.5298 4.7958 10.5606
S -7.3362 8.7521 9.4917
S -5.4305 2.6147 4.8056
S -2.9202 2.5202 10.4596
S -1.0145 -3.6172 5.7735
Au -2.0626 1.2338 2.2214
Au -1.6136 0.6423 6.9674
Au -6.7371 4.4926 8.2978
Au -6.2881 3.9011 13.0438
```

E ... -108.4 eV for the cell shown
Volume ... 541.0 Å³/cell

[4]
Here is Sm6AuS4 after structural relaxation from Alexandria. Energies are from PBE.

Geometry as extended XYZ:
```
22
Lattice="-2.6643 -0.2700 2.9486 5.8187 -3.0009 2.2925 6.4317 18.1829 7.4765" Properties=species:S:1:pos:R:3 pbc="T T T"
S 8.0932 15.0484 11.3811
S 6.0932 4.2746 5.8971
S 4.1943 7.5005 4.4766
S 1.4929 -0.1364 1.3365
S 5.1174 15.2297 8.7088
S 5.3919 7.4115 8.2409
S 3.4930 10.6374 6.8205
S 4.4688 -0.3177 4.0088
Au 7.8744 11.5050 8.1685
Au 1.7118 3.4070 4.5490
Sm 1.6562 -0.3430 4.1555
Sm -1.3321 -0.1350 1.4743
Sm 8.1147 12.2695 11.1460
Sm 5.0174 12.4357 8.3626
Sm 4.5687 2.4763 4.3549
Sm 1.4715 2.6425 1.5716
Sm 1.8837 8.9564 5.2125
Sm 3.8054 5.7327 6.6537
Sm 7.9299 15.2550 8.5621
Sm 5.7808 9.1794 6.0639
Sm 2.6051 5.8473 2.8893
Sm 6.9810 9.0647 9.8282
```

E ... -132.1 eV for the cell shown
Volume ... 547.5 Å³/cell

[5]
Here is Sm8Te4AuS3 after structural relaxation from Alexandria. Energies are from PBE.

Geometry as extended XYZ:
```
16
Lattice="-4.0673 -6.1206 -4.1450 6.6448 -0.7057 -5.4782 1.3987 -0.7279 8.2892" Properties=species:S:1:pos:R:3 pbc="T T T"
S 1.2887 -3.4131 -4.8116
S 1.9881 -3.7771 -0.6670
S 4.0217 -0.7168 1.4055
Au 3.3224 -0.3528 -2.7391
Sm -1.1723 -4.8477 -4.4724
Sm 4.4649 -2.3508 -0.9100
Sm -0.4887 -5.2033 -0.4240
Sm 0.8143 -1.8583 -2.4479
Sm 2.3608 -5.3424 -3.0148
Sm 1.6154 -2.2117 1.6807
Sm 3.1619 -5.6958 1.1139
Sm 5.1485 -2.7064 3.1384
Te 0.6994 -0.3639 4.1446
Te 0.0000 0.0000 0.0000
Te -2.0337 -3.0603 -2.0725
Te -1.3343 -3.4242 2.0721
```

E ... -90.8 eV for the cell shown
Volume ... 440.0 Å³/cell

[6]
Here is Sm4Te2AuS after structural relaxation from Alexandria. Energies are from PBE.

Geometry as extended XYZ:
```
8
Lattice="-1.7421 -3.5262 1.4527 6.7761 -2.4961 2.0672 -3.0050 3.8622 5.7709" Properties=species:S:1:pos:R:3 pbc="T T T"
Sm 4.3616 -0.9838 2.8425
Sm 0.0271 -1.4868 2.4742
Sm 2.0019 -0.6733 6.8167
Sm -0.5904 2.3499 4.9957
Au 2.5170 -3.0112 1.7600
S 0.0000 0.0000 0.0000
Te 1.8856 0.6830 3.9191
Te -2.3736 0.1680 3.6118
```

E ... -43.7 eV for the cell shown
Volume ... 225.9 Å³/cell

[7]
Here is Sm6Te3AuS2 after structural relaxation from Alexandria. Energies are from PBE.

Geometry as extended XYZ:
```
12
Lattice="7.3309 0.0064 0.0019 -3.6581 6.3530 0.0019 -1.2231 -2.1177 7.1247" Properties=species:S:1:pos:R:3 pbc="T T T"
Sm 3.7089 2.0651 5.5485
Sm 0.0388 0.0672 5.5710
Sm 2.5145 -0.0029 1.5799
Sm -1.2591 2.1766 1.5799
Sm 2.4109 4.1745 1.5574
Sm -0.0648 4.2446 5.5485
Te 4.9176 -0.0118 3.5642
Te 1.2249 2.1209 3.5642
Te -2.4678 4.2535 3.5642
Au 0.0000 0.0000 0.0000
S 0.0076 4.2359 0.0019
S 3.6652 2.1235 0.0019
```

E ... -67.4 eV for the cell shown
Volume ... 332.0 Å³/cell

[8]
Here is Sn3AuS after structural relaxation from Alexandria. Energies are from PBE.

Geometry as extended XYZ:
```
5
Lattice="5.3010 0.0000 0.0000 0.0000 5.3010 0.0000 0.0000 0.0000 5.3010" Properties=species:S:1:pos:R:3 pbc="T T T"
Sn 2.6505 0.0000 0.0000
Sn 0.0000 2.6505 0.0000
Sn 0.0000 0.0000 2.6505
Au 2.6505 2.6505 2.6505
S 0.0000 0.0000 0.0000
```

E ... -17.5 eV for the cell shown
Volume ... 149.0 Å³/cell